1.
Below is an optimized crystal structure of U4MnGe8, with properties calculated at the PBE level.

Output
The value obtained for the total energy is -7.2157 eV per atom. The formation energy comes out at -196 meV per atom.

Cell lengths 4.0239, 4.1055, 15.6915 Å; angles 90.00, 90.00, 90.00 degrees
Space group Pmm2 (No. 25)
Asymmetric unit:
U1 0.0000 0.0000 0.0000 x1
U2 0.0000 0.5000 0.4831 x1
U3 0.5000 0.0000 0.7823 x1
U4 0.5000 0.5000 0.2878 x1
Mn1 0.0000 0.5000 0.7043 x1
Ge1 0.0000 0.0000 0.3263 x1
Ge2 0.0000 0.0000 0.6204 x1
Ge3 0.0000 0.5000 0.1430 x1
Ge4 0.0000 0.5000 0.8538 x1
Ge5 0.5000 0.0000 0.1449 x1
Ge6 0.5000 0.0000 0.4414 x1
Ge7 0.5000 0.5000 0.6192 x1
Ge8 0.5000 0.5000 0.9594 x1

***

2.
Below is an optimized crystal structure of UMn2Ge, with properties calculated at the PBE level.

Output
The value obtained for the total energy is -8.8227 eV per atom. The formation energy comes out at -262 meV per atom. For the energy above the most stable polymorph in this dataset, the calculation gives 0.000 eV per atom.

Cell lengths 4.4013, 4.3330, 6.5574 Å; angles 90.00, 105.22, 90.00 degrees
Space group P2_1/m (No. 11)
Asymmetric unit:
U1 0.1629 0.2500 0.2114 x2
Mn1 0.2976 0.7500 0.5158 x2
Mn2 0.3398 0.7500 0.9204 x2
Ge1 0.2991 0.2500 0.7056 x2

***

3.
Below is an optimized crystal structure of UMn2Ge, with properties calculated at the PBE level.

Output
The value obtained for the total energy is -8.4796 eV per atom. The formation energy comes out at 82 meV per atom. For the energy above the most stable polymorph in this dataset, the calculation gives 0.343 eV per atom.

Cell lengths 2.9314, 2.9314, 6.8197 Å; angles 90.00, 90.00, 90.00 degrees
Space group P4/mmm (No. 123)
Asymmetric unit:
U1 0.0000 0.0000 0.0000 x1
Mn1 0.5000 0.5000 0.2957 x2
Ge1 0.0000 0.0000 0.5000 x1

***

4.
Below is an optimized crystal structure of U2Mn12Ge7, with properties calculated at the PBE level.

Output
The value obtained for the total energy is -7.9874 eV per atom. The formation energy comes out at -133 meV per atom.

Cell lengths 10.0980, 10.0980, 3.4798 Å; angles 90.00, 90.00, 120.00 degrees
Space group P-6 (No. 174)
Asymmetric unit:
U1 0.0000 0.0000 0.0000 x1
U2 0.3333 0.6667 0.5000 x1
Mn1 0.0426 0.2715 0.5000 x3
Mn2 0.1131 0.7180 0.0000 x3
Mn3 0.3913 0.1741 0.0000 x3
Mn4 0.5363 0.4255 0.5000 x3
Ge1 0.0717 0.4567 0.0000 x3
Ge2 0.2524 0.2147 0.5000 x3
Ge3 0.6667 0.3333 0.0000 x1

***

5.
Below is an optimized crystal structure of U2Mn5Ge3, with properties calculated at the PBE level.

Output
The value obtained for the total energy is -8.3410 eV per atom. The formation energy comes out at -113 meV per atom.

Cell lengths 4.1222, 24.5813, 5.9811 Å; angles 90.00, 90.00, 90.00 degrees
Space group Cmc2_1 (No. 36)
Asymmetric unit:
U1 0.0000 0.0083 0.0000 x4
U2 0.0000 0.3217 0.0239 x4
Mn1 0.0000 0.1145 0.7204 x4
Mn2 0.0000 0.2041 0.2175 x4
Mn3 0.0000 0.2038 0.8130 x4
Mn4 0.0000 0.3699 0.5261 x4
Mn5 0.0000 0.4586 0.7724 x4
Ge1 0.0000 0.1068 0.2822 x4
Ge2 0.0000 0.2709 0.5168 x4
Ge3 0.0000 0.4386 0.2133 x4

***

6.
Below is an optimized crystal structure of U5Mn3Ge3, with properties calculated at the PBE level.

Output
The value obtained for the total energy is -8.6676 eV per atom. The formation energy comes out at 223 meV per atom.

Cell lengths 8.5711, 8.5711, 3.0888 Å; angles 90.00, 90.00, 120.00 degrees
Space group P-62m (No. 189)
Asymmetric unit:
U1 0.0000 0.6780 0.0000 x3
U2 0.3333 0.6667 0.0000 x2
Mn1 0.0000 0.1666 0.0000 x3
Ge1 0.0000 0.3812 0.5000 x3

***

7.
Below is an optimized crystal structure of U2MnGe, with properties calculated at the PBE level.

Output
The value obtained for the total energy is -9.2021 eV per atom. The formation energy comes out at -111 meV per atom.

Cell lengths 4.0429, 4.0429, 4.3701 Å; angles 90.00, 90.00, 90.00 degrees
Space group P4/mmm (No. 123)
Asymmetric unit:
U1 0.0000 0.5000 0.0000 x2
Mn1 0.0000 0.0000 0.5000 x1
Ge1 0.5000 0.5000 0.5000 x1

***

8.
Below is an optimized crystal structure of UMnGe, with properties calculated at the PBE level.

Output
The value obtained for the total energy is -8.2137 eV per atom. The formation energy comes out at 145 meV per atom.

Cell lengths 3.0055, 3.0055, 10.6230 Å; angles 90.00, 90.00, 90.00 degrees
Space group P4/nmm (No. 129, origin choice 2)
Asymmetric unit:
U1 0.2500 0.2500 0.1271 x2
Mn1 0.2500 0.2500 0.6905 x2
Ge1 0.2500 0.2500 0.4191 x2

***

9.
Below is an optimized crystal structure of UMnVGe, with properties calculated at the PBE level.

Output
The value obtained for the total energy is -8.5440 eV per atom. The formation energy comes out at 4 meV per atom.

Cell lengths 6.2518, 6.2518, 6.2518 Å; angles 90.00, 90.00, 90.00 degrees
Space group F-43m (No. 216)
Asymmetric unit:
U1 0.0000 0.0000 0.0000 x4
Mn1 0.2500 0.2500 0.2500 x4
V1 0.2500 0.2500 0.7500 x4
Ge1 0.0000 0.0000 0.5000 x4

***

10.
Below is an optimized crystal structure of MnVGe, with properties calculated at the PBE level.

Output
The value obtained for the total energy is -7.7506 eV per atom. The formation energy comes out at -115 meV per atom.

Cell lengths 4.1181, 4.1181, 2.6849 Å; angles 90.00, 90.00, 120.00 degrees
Space group P3m1 (No. 156)
Asymmetric unit:
Mn1 0.0000 0.0000 0.0000 x1
V1 0.6667 0.3333 0.3245 x1
Ge1 0.3333 0.6667 0.7929 x1

***

Copy entry 10 word for word.
Below is an optimized crystal structure of MnVGe, with properties calculated at the PBE level.

Output
The value obtained for the total energy is -7.7506 eV per atom. The formation energy comes out at -115 meV per atom.

Cell lengths 4.1181, 4.1181, 2.6849 Å; angles 90.00, 90.00, 120.00 degrees
Space group P3m1 (No. 156)
Asymmetric unit:
Mn1 0.0000 0.0000 0.0000 x1
V1 0.6667 0.3333 0.3245 x1
Ge1 0.3333 0.6667 0.7929 x1